1.
## CuS2I2 (GGA-PBE)

Data for a geometry-optimized CuS2I2 structure.

The total energy comes out at -3.1047 eV/atom. As for the uncorrected formation energy: -0.01 eV/atom. Its crystal system is monoclinic. The value obtained for the energy above the most stable polymorph in this dataset is 0 meV per atom.

Unit cell a=19.4165 b=3.7716 c=4.3129 alpha=90.00 beta=94.94 gamma=90.00
Closest atoms and distances in Å follow each position.
Space group Cm (No. 8)
One atom of each set of equivalent atoms:
Cu  0.0000  0.0000  0.0000 (multiplicity 2)  2 S 2.28
S  0.3557  0.0000  0.1996 (multiplicity 2)  1 S 2.00
S  0.4349  0.0000  0.9305 (multiplicity 2)  1 S 2.00
I  0.0778  0.0000  0.5350 (multiplicity 2)  2 Cu 2.61-2.65
I  0.2433  0.0000  0.8754 (multiplicity 2)  1 S 2.49

***

2.
## Cu2SI (GGA-PBE)

Data for a geometry-optimized Cu2SI structure.

The total energy comes out at -3.6467 eV/atom. As for the uncorrected formation energy: -0.18 eV/atom. Its crystal system is tetragonal. The value obtained for the energy above the most stable polymorph in this dataset is 0 meV per atom.

Unit cell a=5.6432 b=5.6432 c=11.2304 alpha=90.00 beta=90.00 gamma=90.00
Closest atoms and distances in Å follow each position.
Space group I-42d (No. 122)
One atom of each set of equivalent atoms:
Cu  0.1803  0.2500  0.1250 (multiplicity 8)  2 S 2.24
S  0.0000  0.0000  0.0000 (multiplicity 4)  4 Cu 2.24
I  0.0000  0.0000  0.5000 (multiplicity 4)  4 Cu 2.69

***

3.
## Cu2SI (GGA-PBE)

Data for a geometry-optimized Cu2SI structure.

The total energy comes out at -3.5095 eV/atom. As for the uncorrected formation energy: -0.04 eV/atom. Its crystal system is trigonal. The value obtained for the energy above the most stable polymorph in this dataset is 137 meV per atom.

Unit cell a=3.8329 b=3.8329 c=20.4130 alpha=90.00 beta=90.00 gamma=120.00
Closest atoms and distances in Å follow each position.
Space group R-3m (No. 166, hexagonal axes)
One atom of each set of equivalent atoms:
Cu  0.0000  0.0000  0.1271 (multiplicity 6)  3 S 2.36, 1 I 2.59
S  0.0000  0.0000  0.5000 (multiplicity 3)  6 Cu 2.36
I  0.0000  0.0000  0.0000 (multiplicity 3)  2 Cu 2.59

***

4.
## Cu2S2I (GGA-PBE)

Data for a geometry-optimized Cu2S2I structure.

The total energy comes out at -3.7345 eV/atom. As for the uncorrected formation energy: -0.14 eV/atom. Its crystal system is hexagonal.

Unit cell a=3.8057 b=3.8057 c=8.6255 alpha=90.00 beta=90.00 gamma=120.00
Closest atoms and distances in Å follow each position.
Space group P-6m2 (No. 187)
One atom of each set of equivalent atoms:
Cu  0.0000  0.0000  0.1966 (multiplicity 2)  3 S 2.29
S  0.3333  0.6667  0.1239 (multiplicity 2)  1 S 2.14, 3 Cu 2.29
I  0.0000  0.0000  0.5000 (multiplicity 1)  2 Cu 2.62